DFT (PBE) results for a geometry-optimized ZrCuNiHg structure.

SG: F-43m
raw total energy: -19.33 eV for the cell shown

abc: 4.504 4.504 4.504
angles: 60.00 60.00 60.00
Positions (direct):
Ni (0.750, 0.750, 0.750)
Cu (0.250, 0.250, 0.250)
Hg (0.000, 0.000, 0.000)
Zr (0.500, 0.500, 0.500)

---

DFT (PBE) results for a geometry-optimized Tb2Pm3NdEr6 structure.

SG: C2/m
raw total energy: -55.46 eV for the cell shown

abc: 6.185 6.185 11.744
angles: 95.02 95.02 119.98
Positions (direct):
Tb (0.333, 0.667, 0.000)
Tb (0.667, 0.333, 0.000)
Pm (0.167, 0.833, 0.500)
Pm (0.833, 0.167, 0.500)
Pm (0.500, 0.500, 0.500)
Nd (0.000, 0.000, 0.000)
Er (0.916, 0.583, 0.751)
Er (0.750, 0.750, 0.249)
Er (0.084, 0.417, 0.249)
Er (0.583, 0.916, 0.751)
Er (0.250, 0.250, 0.751)
Er (0.417, 0.084, 0.249)

---

DFT (PBE) results for a geometry-optimized YRhPb structure.

SG: P-6m2
raw total energy: -19.08 eV for the cell shown

abc: 4.762 4.762 3.434
angles: 90.00 90.00 120.00
Positions (direct):
Pb (0.000, 0.000, 0.167)
Rh (0.667, 0.333, 0.166)
Y (0.333, 0.667, 0.667)

---

DFT (PBE) results for a geometry-optimized In2GePPt structure.

SG: P4/mmm
raw total energy: -20.02 eV for the cell shown

abc: 5.399 4.426 5.399
angles: 90.00 90.00 90.00
Positions (direct):
P (0.000, 0.500, 0.000)
Ge (0.500, 0.500, 0.500)
Pt (0.000, 0.000, 0.000)
In (0.000, 0.000, 0.500)
In (0.500, 0.000, 0.000)

---

DFT (PBE) results for a geometry-optimized MgIr2Au structure.

SG: Imm2
raw total energy: -22.36 eV for the cell shown

abc: 5.536 5.536 5.536
angles: 149.86 129.73 59.74
Positions (direct):
Au (0.756, 0.256, 0.500)
Ir (0.013, 0.013, 0.000)
Ir (0.238, 0.738, 0.500)
Mg (0.493, 0.493, 0.000)

---

DFT (PBE) results for a geometry-optimized Ac2La2In4Cu structure.

SG: I4/mmm
raw total energy: -35.68 eV for the cell shown

abc: 7.225 7.225 7.225
angles: 98.32 115.32 115.32
Positions (direct):
Ac (0.000, 0.694, 0.694)
Ac (0.000, 0.306, 0.306)
La (0.500, 0.750, 0.250)
La (0.500, 0.250, 0.750)
In (0.000, 0.767, 0.233)
In (0.533, 0.767, 0.767)
In (0.000, 0.233, 0.767)
In (0.467, 0.233, 0.233)
Cu (0.000, 0.000, 0.000)

---

DFT (PBE) results for a geometry-optimized Ac14LaEr structure.

SG: Amm2
raw total energy: -66.60 eV for the cell shown

abc: 7.891 7.891 11.239
angles: 90.00 90.00 90.01
Positions (direct):
Ac (0.375, 0.625, 0.500)
Ac (0.875, 0.125, 0.500)
Ac (0.874, 0.624, 0.000)
Ac (0.876, 0.626, 0.500)
Ac (0.376, 0.126, 0.000)
Ac (0.374, 0.124, 0.500)
Ac (0.626, 0.876, 0.756)
Ac (0.626, 0.876, 0.244)
Ac (0.124, 0.374, 0.756)
Ac (0.124, 0.374, 0.244)
Ac (0.124, 0.876, 0.757)
Ac (0.124, 0.876, 0.243)
Ac (0.626, 0.374, 0.755)
Ac (0.626, 0.374, 0.245)
La (0.375, 0.625, 0.000)
Er (0.875, 0.125, 0.000)

---

DFT (PBE) results for a geometry-optimized K2RbAg structure.

SG: Fm-3m
energy above the most stable polymorph in this dataset: 8.8 kJ/mol of atoms

abc: 6.461 6.461 6.461
angles: 60.00 60.00 60.00
Positions (direct):
K (0.250, 0.250, 0.250)
K (0.750, 0.750, 0.750)
Rb (0.000, 0.000, 0.000)
Ag (0.500, 0.500, 0.500)

---

DFT (PBE) results for a geometry-optimized CaRe3Ag structure.

SG: Pm-3m
energy above the most stable polymorph in this dataset: 0.0 kJ/mol of atoms

abc: 4.850 4.850 4.850
angles: 90.00 90.00 90.00
Positions (direct):
Re (0.000, 0.500, 0.000)
Re (0.000, 0.000, 0.500)
Re (0.500, 0.000, 0.000)
Ca (0.500, 0.500, 0.500)
Ag (0.000, 0.000, 0.000)

---

DFT (PBE) results for a geometry-optimized Cr2RuW structure.

SG: Pm
energy above the most stable polymorph in this dataset: 6.6 kJ/mol of atoms

abc: 4.081 2.676 5.078
angles: 77.37 90.00 90.00
Positions (direct):
Cr (0.000, 0.040, 0.024)
Cr (0.500, 0.210, 0.233)
Ru (0.000, 0.479, 0.489)
W (0.500, 0.770, 0.754)

---

DFT (PBE) results for a geometry-optimized Be15Nb2Cu2 structure.

SG: R-3m
raw total energy: -88.07 eV for the cell shown

abc: 5.654 5.654 5.654
angles: 82.83 82.83 82.83
Positions (direct):
Be (0.500, 0.000, 0.000)
Be (0.000, 0.000, 0.500)
Be (0.000, 0.500, 0.000)
Be (0.000, 0.704, 0.296)
Be (0.704, 0.296, 0.000)
Be (0.296, 0.000, 0.704)
Be (0.296, 0.704, 0.000)
Be (0.704, 0.000, 0.296)
Be (0.000, 0.296, 0.704)
Be (0.163, 0.653, 0.653)
Be (0.653, 0.653, 0.163)
Be (0.653, 0.163, 0.653)
Be (0.837, 0.347, 0.347)
Be (0.347, 0.347, 0.837)
Be (0.347, 0.837, 0.347)
Nb (0.346, 0.346, 0.346)
Nb (0.654, 0.654, 0.654)
Cu (0.105, 0.105, 0.105)
Cu (0.895, 0.895, 0.895)

---

DFT (PBE) results for a geometry-optimized Ce2P3Ir4Pd structure.

SG: P-4m2
raw total energy: -77.43 eV for the cell shown

abc: 3.987 3.987 10.788
angles: 90.00 90.00 90.00
Positions (direct):
Ce (0.500, 0.000, 0.256)
Ce (0.000, 0.500, 0.744)
P (0.000, 0.000, 0.500)
P (0.500, 0.000, 0.876)
P (0.000, 0.500, 0.124)
Ir (0.500, 0.500, 0.000)
Ir (0.000, 0.000, 0.000)
Ir (0.500, 0.000, 0.668)
Ir (0.000, 0.500, 0.332)
Pd (0.500, 0.500, 0.500)

---

no.,spin magnetization (μB per atom)
1,0.000
2,0.000
3,0.000
4,0.000
5,0.000
6,0.000
7,0.000
8,0.000
9,0.255
10,0.000
11,0.000
12,0.000